Entry 1:
Entry from Alexandria: Cd2FeRh after structural relaxation (PBE-GGA).

Geometry as POSCAR:
```
Cd2FeRh
1.0
-2.0125 2.0125 4.1128
2.0125 -2.0125 4.1128
2.0125 2.0125 -4.1128
Cd Fe Rh
2 1 1
Cartesian
2.0125 0.0000 2.0564
0.0000 2.0125 2.0564
0.0000 0.0000 0.0000
0.0000 0.0000 4.1128
```

Formation enthalpy at 0 K ... 142 meV per atom

Entry 2:
Entry from Alexandria: CdFeRh2 after structural relaxation (PBE-GGA).

Geometry as POSCAR:
```
CdFeRh2
1.0
-1.5675 2.1966 4.4510
1.5675 -2.1966 4.4510
1.5675 2.1966 -4.4510
Cd Fe Rh
1 1 2
Cartesian
0.0000 0.0000 0.0000
1.5675 0.0000 2.2609
0.0000 0.0000 4.2060
0.0000 2.1966 2.0842
```

Formation enthalpy at 0 K ... 96 meV per atom